VASP calculation (PBE) on MgZnTeO after structural relaxation.

Cell and atoms, written as POSCAR:
```
MgZnTeO
1.0
5.698 0.000 0.000
0.000 8.287 0.000
0.000 0.000 5.698
Mg Zn Te O
4 4 4 4
Cartesian
1.424 0.018 0.000
1.425 0.018 2.849
4.273 8.269 0.000
4.274 8.269 2.849
0.014 5.623 1.449
2.835 5.623 4.298
2.863 2.664 1.449
5.684 2.664 4.298
0.006 2.808 1.435
2.843 2.808 4.284
2.855 5.479 1.435
5.692 5.479 4.284
0.005 7.790 1.425
2.844 7.790 4.274
2.854 0.497 1.425
5.693 0.497 4.274
```

Results
Calculated density ... 5.760 g/cm³
SG ... Pca2_1, No. 29
Energy relative to the lowest polymorph listed for this composition ... 0.000 eV/atom
Calculated total energy ... -16.1 eV per formula unit


VASP calculation (PBE) on Ba2TbOs2 after structural relaxation.

Cell and atoms, written as POSCAR:
```
Ba2TbOs2
1.0
-2.703 2.703 5.121
2.703 -2.703 5.121
2.703 2.703 -5.121
Ba Tb Os
2 1 2
Cartesian
0.000 0.000 1.547
0.000 0.000 8.695
0.000 0.000 5.121
2.703 0.000 2.561
0.000 2.703 2.561
```

Results
Calculated density ... 9.029 g/cm³
SG ... I4/mmm, No. 139
Energy relative to the lowest polymorph listed for this composition ... 0.538 eV/atom
Calculated total energy ... -23.7 eV per formula unit


VASP calculation (PBE) on Na3SrNd2Pb3 after structural relaxation.

Cell and atoms, written as POSCAR:
```
Na3SrNd2Pb3
1.0
5.239 0.000 0.000
-2.619 4.537 0.000
0.000 0.000 11.636
Na Sr Nd Pb
3 1 2 3
Cartesian
0.000 0.000 0.000
0.000 3.025 3.592
0.000 3.025 8.043
2.619 1.512 5.818
2.619 1.512 1.913
2.619 1.512 9.723
0.000 0.000 3.585
0.000 0.000 8.050
0.000 3.025 0.000
```

Results
Calculated density ... 6.404 g/cm³
SG ... P-6m2, No. 187
Calculated total energy ... -28.9 eV per formula unit